Here is an optimized crystal structure of VTcIr2 from the Alexandria database. Energies are from PBE-GGA. Values from VASP.

Properties
**Energy relative to the elements**: -0.384 eV/atom
**Final energy**: -9.69 eV per atom
**DOS(E_F)**: 0.90 states/eV/atom
**Distance to the lowest polymorph of the same formula**: 0.0000 eV/atom
**Space-group type**: No. 123
**Magnetic moment**: 0.0 μB/f.u.

Quantum ESPRESSO input file:
```
&SYSTEM
  ibrav = 0, nat = 4, ntyp = 3
/
ATOMIC_SPECIES
V 50.94 V.upf
Tc 98.00 Tc.upf
Ir 192.22 Ir.upf
ATOMIC_POSITIONS crystal
V 0.000 0.000 0.000
Tc 0.500 0.500 0.000
Ir 0.000 0.500 0.500
Ir 0.500 0.000 0.500
CELL_PARAMETERS angstrom
3.846 0.000 0.000
0.000 3.846 0.000
0.000 0.000 3.836
```